{"formula": "La2ScW", "functional": "PBE", "state": "relaxed", "ef_ev_per_atom": 0.504, "space_group": "P4/mmm (123)", "lattice": [[3.6844, 0.0000, 0.0000], [0.0000, 3.6844, 0.0000], [0.0000, 0.0000, 7.7633]], "species": ["La", "La", "Sc", "W"], "fractional_positions": [[0.0000, 0.0000, 0.2219], [0.0000, 0.0000, 0.7781], [0.5000, 0.5000, 0.5000], [0.5000, 0.5000, 0.0000]]}